No. 1
Here is an optimized crystal structure of DyNp3Tl4Te8 from the Alexandria database. Energies are from PBE.

Values from the calculation:
As for the volume: 569.2 Å³/f.u. The crystal system is monoclinic. The formation energy from raw total energies is -0.68 eV/atom. For the magnetization, the calculation gives 0.7500 μB per atom.

Cell: 8.9710 8.9710 9.6823 Å, 117.67 117.67 59.90°
With the nearest neighbours (Å) after each atom.
Element x y z (fractional)
Dy: 0.0000 0.0000 0.0000  6 Te 3.10-3.11
Np: 0.0000 0.5000 0.0000  6 Te 3.12-3.14
Np: 0.5000 0.0000 0.0000  6 Te 3.12-3.14
Np: 0.5000 0.5000 0.0000  6 Te 3.12-3.13
Tl: 0.0000 0.0000 0.5000  6 Te 3.48-3.49
Tl: 0.0000 0.5000 0.5000  6 Te 3.48-3.49
Tl: 0.5000 0.0000 0.5000  6 Te 3.48-3.49
Tl: 0.5000 0.5000 0.5000  6 Te 3.50-3.51
Te: 0.2365 0.2365 0.2141  1 Dy 3.11, 2 Np 3.13
Te: 0.2366 0.7411 0.2142  1 Dy 3.10, 2 Np 3.13-3.14
Te: 0.2589 0.7634 0.7858  1 Dy 3.10, 2 Np 3.13-3.14
Te: 0.2622 0.2622 0.7864  3 Np 3.12, 3 Tl 3.49
Te: 0.7378 0.7378 0.2136  3 Np 3.12, 3 Tl 3.49
Te: 0.7411 0.2366 0.2142  1 Dy 3.10, 2 Np 3.13-3.14
Te: 0.7634 0.2589 0.7858  1 Dy 3.10, 2 Np 3.13-3.14
Te: 0.7635 0.7635 0.7859  1 Dy 3.11, 2 Np 3.13

---

No. 2
Here is an optimized crystal structure of CeSc2Rh from the Alexandria database. Energies are from PBE.

Values from the calculation:
As for the volume: 86.5 Å³/f.u. The crystal system is tetragonal. The distance to the lowest polymorph of the same formula comes out at 0.0000 eV per atom. For the magnetization, the calculation gives 0.1448 μB per atom. The calculation puts the energy of formation at -45.1 kJ/mol of atoms.

Cell: 3.2337 3.2337 8.2701 Å, 90.00 90.00 90.00°
With the nearest neighbours (Å) after each atom.
Element x y z (fractional)
Ce: 0.0000 0.0000 0.0000  4 Ce 3.23, 8 Sc 3.42
Sc: 0.5000 0.5000 0.3073  4 Rh 2.79
Sc: 0.5000 0.5000 0.6927  4 Rh 2.79
Rh: 0.0000 0.0000 0.5000  8 Sc 2.79

---

No. 3
Here is an optimized crystal structure of ThMoSe from the Alexandria database. Energies are from PBE.

Values from the calculation:
As for the volume: 68.5 Å³/f.u. The crystal system is monoclinic. The formation energy from raw total energies is -0.50 eV/atom. For the magnetization, the calculation gives 0.0000 μB per atom.

Cell: 4.5534 3.8651 7.8109 Å, 90.00 94.93 90.00°
With the nearest neighbours (Å) after each atom.
Element x y z (fractional)
Th: 0.2325 0.2500 0.3138  5 Se 2.98-3.10, 4 Mo 3.16-3.31
Th: 0.7675 0.7500 0.6862  5 Se 2.98-3.10, 4 Mo 3.16-3.31
Mo: 0.3289 0.7500 0.9785  2 Mo 2.49
Mo: 0.6711 0.2500 0.0215  2 Mo 2.49
Se: 0.2662 0.2500 0.7114  3 Mo 2.84-2.92, 5 Th 2.98-3.10
Se: 0.7338 0.7500 0.2886  3 Mo 2.84-2.92, 5 Th 2.98-3.10